Here is crystalline TbNiBIr at its relaxed geometry from the Alexandria database. Energies are from PBE.

Cell lengths 3.8176, 3.6743, 5.1331 Å; angles 110.97, 111.83, 90.00 degrees
Positions (direct):
Tb 0.9664 0.9664 0.9329
Ni 0.6187 0.6187 0.2375
B 0.2105 0.7105 0.4211
Ir 0.3196 0.3196 0.6392

Computed properties:
For the calculated formation energy, the calculation gives -443 meV/atom. As for the space-group type: Imm2 (44).

Here is crystalline Rb2PrI5 at its relaxed geometry from the Alexandria database. Energies are from PBE.

Cell lengths 9.0826, 9.0827, 9.1134 Å; angles 119.90, 119.92, 90.02 degrees
Positions (direct):
Rb 0.1859 0.6846 0.3692
Rb 0.6846 0.1854 0.3692
Pr 0.9837 0.9838 0.9680
I 0.8077 0.2782 0.0853
I 0.2769 0.2768 0.0833
I 0.8082 0.8081 0.0866
I 0.2779 0.8074 0.0847
I 0.7522 0.7528 0.5078

Computed properties:
As for the formation energy without anion corrections: -1.391 eV per atom. As for the space-group type: Cm (8).

The records above give, respectively, calculated volume values of 15.42, 66.62 Å³/atom.
The records above give, respectively, D(E_F) values of 0.652, 0.000 states/eV/atom.